--- A ---
Computed, not measured: a relaxed PrNdGa crystal at the GGA-PBE level of DFT.

Properties
Magnetization, μB per formula unit: 0.000

Cell lengths 3.6603, 3.6603, 15.7189 Å; angles 90.00, 90.00, 120.00 degrees
With the nearest neighbours (Å) after each atom.
Sites, in units of the cell vectors:
Nd 0.6667 0.3333 0.2996  3 Ga 3.16
Nd 0.6667 0.3333 0.5986  3 Ga 3.16
Ga 0.6667 0.3333 0.9491  6 Pr 3.19
Ga 0.3333 0.6667 0.4491  6 Nd 3.16
Pr 0.3333 0.6667 0.1008  3 Ga 3.19
Pr 0.3333 0.6667 0.7974  3 Ga 3.19

---

--- B ---
Computed, not measured: a relaxed PrNdGa crystal at the GGA-PBE level of DFT.

Properties
Magnetization, μB per formula unit: 0.000

Cell lengths 3.5903, 3.5903, 7.3040 Å; angles 104.23, 104.23, 90.00 degrees
With the nearest neighbours (Å) after each atom.
Sites, in units of the cell vectors:
Pr 0.0235 0.0235 0.0470  4 Ga 3.22, 4 Pr 3.59
Nd 0.3087 0.3087 0.6174  4 Ga 3.19
Ga 0.6678 0.6678 0.3356  4 Nd 3.19, 4 Pr 3.22

---

Which structure loses on stability? A does.

---

--- A ---
Computed, not measured: a relaxed PrNdGa crystal at the GGA-PBE level of DFT.

Properties
Magnetization, μB per formula unit: 0.460

Cell lengths 5.0750, 5.0747, 8.7314 Å; angles 90.00, 90.00, 60.00 degrees
With the nearest neighbours (Å) after each atom.
Sites, in units of the cell vectors:
Pr 0.1549 0.5607 0.0238  3 Ga 3.11
Pr 0.1549 0.5608 0.5544  3 Ga 3.11
Nd 0.8217 0.2274 0.7891  2 Ga 3.08
Nd 0.4882 0.8941 0.2891  6 Ga 3.20
Ga 0.8215 0.2274 0.1419  1 Ga 2.57
Ga 0.8215 0.2274 0.4362  1 Ga 2.57

---

--- B ---
Computed, not measured: a relaxed PrNdGa crystal at the GGA-PBE level of DFT.

Properties
Magnetization, μB per formula unit: 0.000

Cell lengths 4.5326, 8.1587, 8.1587 Å; angles 120.00, 90.00, 90.00 degrees
With the nearest neighbours (Å) after each atom.
Sites, in units of the cell vectors:
Pr 0.5000 0.4055 0.4055  5 Ga 3.31-3.36, 6 Nd 3.49-3.69
Pr 0.5000 0.0000 0.5945  5 Ga 3.31-3.36, 6 Nd 3.49-3.69
Pr 0.5000 0.5945 0.0000  5 Ga 3.31-3.36, 6 Nd 3.49-3.69
Nd 0.0000 0.7315 0.7315  4 Ga 3.02-3.15
Nd 0.0000 0.0000 0.2685  4 Ga 3.02-3.15
Nd 0.0000 0.2685 0.0000  4 Ga 3.02-3.15
Ga 0.0000 0.3333 0.6667  3 Nd 3.02, 6 Pr 3.36
Ga 0.0000 0.6667 0.3333  3 Nd 3.02, 6 Pr 3.36
Ga 0.5000 0.0000 0.0000  6 Nd 3.15, 3 Pr 3.31

---

Which structure loses on stability? A does.